Computed, not measured: an optimized crystal structure of Pr5Nd2Ge4 at the PBE level of DFT.

abc: 4.263 6.614 13.344
angles: 111.44 99.19 90.00
Element x y z (fractional)
Pr (0.500, 0.000, 0.000)
Pr (0.125, 0.320, 0.250)
Pr (0.875, 0.680, 0.750)
Pr (0.888, 0.225, 0.775)
Pr (0.112, 0.775, 0.225)
Ge (0.013, 0.339, 0.026)
Ge (0.311, 0.333, 0.621)
Ge (0.689, 0.667, 0.379)
Ge (0.987, 0.661, 0.974)
Nd (0.725, 0.202, 0.450)
Nd (0.275, 0.798, 0.550)

Results
uncorrected energy	-5.110	eV per atom
M_tot	0.06	Bohr magnetons per cell
space group	C2/m (12)
ΔH_f (0 K)	-0.39	eV per atom